(1)
# DyY4Sc6 | the Alexandria database | PBE | optimized geometry
data_DyY4Sc6
_cell_length_a 6.357
_cell_length_b 6.357
_cell_length_c 15.758
_cell_angle_alpha 90.00
_cell_angle_beta 90.00
_cell_angle_gamma 90.00
_symmetry_space_group_name_H-M 'I -4 2 m'
_symmetry_Int_Tables_number 121
_symmetry_space_group_name_Hall 'I -4 2'
loop_
_atom_site_label
_atom_site_type_symbol
_atom_site_fract_x
_atom_site_fract_y
_atom_site_fract_z
Dy1 Dy 0.000 0.000 0.000
Y1 Y 0.192 0.192 0.180
Sc1 Sc 0.000 0.500 0.000
Sc2 Sc 0.171 0.171 0.387
# DFT formation energy = 0.282 eV per atom
# Crystal system = tetragonal


(2)
# Ca2CoSiP | the Alexandria database | PBE | optimized geometry
data_Ca2CoSiP
_cell_length_a 5.447
_cell_length_b 5.447
_cell_length_c 4.073
_cell_angle_alpha 90.00
_cell_angle_beta 90.00
_cell_angle_gamma 90.00
_symmetry_space_group_name_H-M 'P 4/m m m'
_symmetry_Int_Tables_number 123
_symmetry_space_group_name_Hall '-P 4 2'
loop_
_atom_site_label
_atom_site_type_symbol
_atom_site_fract_x
_atom_site_fract_y
_atom_site_fract_z
Ca1 Ca 0.000 0.500 0.000
Co1 Co 0.000 0.000 0.500
Si1 Si 0.500 0.500 0.500
P1 P 0.000 0.000 0.000
# Crystal system = tetragonal
# Formation energy from raw total energies = -0.1638 eV/atom


(3)
# Ba6P3Br | the Alexandria database | PBE | optimized geometry
data_Ba6P3Br
_cell_length_a 13.188
_cell_length_b 4.605
_cell_length_c 16.079
_cell_angle_alpha 90.00
_cell_angle_beta 112.61
_cell_angle_gamma 90.00
_symmetry_space_group_name_H-M 'P 1 21/m 1'
_symmetry_Int_Tables_number 11
loop_
_symmetry_equiv_pos_as_xyz
'x,y,z'
'-x,-y,-z'
'-x,y+1/2,-z'
'x,-y+1/2,z'
loop_
_atom_site_label
_atom_site_type_symbol
_atom_site_fract_x
_atom_site_fract_y
_atom_site_fract_z
Ba1 Ba 0.004 0.250 0.235
Ba2 Ba 0.128 0.750 0.592
Ba3 Ba 0.191 0.750 0.104
Ba4 Ba 0.280 0.750 0.399
Ba5 Ba 0.351 0.250 0.940
Ba6 Ba 0.487 0.250 0.238
P1 P 0.025 0.750 0.379
P2 P 0.253 0.250 0.257
P3 P 0.423 0.750 0.090
Br1 Br 0.358 0.250 0.584
# Crystal system = monoclinic
# Formation energy from raw total energies = -1.0721 eV/atom


(4)
# SbS3O | the Alexandria database | PBE | optimized geometry
data_SbS3O
_cell_length_a 4.961
_cell_length_b 4.961
_cell_length_c 4.961
_cell_angle_alpha 90.00
_cell_angle_beta 90.00
_cell_angle_gamma 90.00
_symmetry_space_group_name_H-M 'P m -3 m'
_symmetry_Int_Tables_number 221
_symmetry_space_group_name_Hall '-P 4 2 3'
loop_
_atom_site_label
_atom_site_type_symbol
_atom_site_fract_x
_atom_site_fract_y
_atom_site_fract_z
Sb1 Sb 0.000 0.000 0.000
S1 S 0.000 0.000 0.500
O1 O 0.500 0.500 0.500
# Excess energy over the best structure of this formula in the dataset = 743 meV/atom
# Crystal system = cubic
# Formation energy from raw total energies = 1.3319 eV/atom


(5)
# CaPH5O6 | the Alexandria database | PBE | optimized geometry
data_CaPH5O6
_cell_length_a 6.435
_cell_length_b 15.157
_cell_length_c 5.887
_cell_angle_alpha 90.00
_cell_angle_beta 119.42
_cell_angle_gamma 90.00
_symmetry_space_group_name_H-M 'C 1 c 1'
_symmetry_Int_Tables_number 9
loop_
_symmetry_equiv_pos_as_xyz
'x,y,z'
'x,-y,z+1/2'
'x+1/2,y+1/2,z'
'x+1/2,-y+1/2,z+1/2'
loop_
_atom_site_label
_atom_site_type_symbol
_atom_site_fract_x
_atom_site_fract_y
_atom_site_fract_z
Ca1 Ca 0.000 0.171 0.000
P1 P 0.019 0.322 0.515
H1 H 0.216 0.173 0.614
H2 H 0.238 0.013 0.742
H3 H 0.246 0.492 0.139
H4 H 0.252 0.413 0.963
H5 H 0.401 0.067 0.398
O1 O 0.119 0.252 0.400
O2 O 0.209 0.394 0.652
O3 O 0.238 0.052 0.259
O4 O 0.250 0.427 0.128
O5 O 0.290 0.132 0.772
O6 O 0.423 0.219 0.182
# Excess energy over the best structure of this formula in the dataset = 0 meV/atom
# Crystal system = monoclinic


(6)
# BaSrAgPd2 | the Alexandria database | PBE | optimized geometry
data_BaSrAgPd2
_cell_length_a 5.435
_cell_length_b 5.435
_cell_length_c 5.797
_cell_angle_alpha 90.00
_cell_angle_beta 90.00
_cell_angle_gamma 90.00
_symmetry_space_group_name_H-M 'P 4/m m m'
_symmetry_Int_Tables_number 123
_symmetry_space_group_name_Hall '-P 4 2'
loop_
_atom_site_label
_atom_site_type_symbol
_atom_site_fract_x
_atom_site_fract_y
_atom_site_fract_z
Ba1 Ba 0.000 0.000 0.000
Sr1 Sr 0.500 0.500 0.500
Ag1 Ag 0.500 0.500 0.000
Pd1 Pd 0.000 0.500 0.500
# DFT formation energy = 0.187 eV per atom
# Crystal system = tetragonal


(7)
# MgZnCd2 | the Alexandria database | PBE | optimized geometry
data_MgZnCd2
_cell_length_a 4.374
_cell_length_b 8.006
_cell_length_c 5.156
_cell_angle_alpha 90.00
_cell_angle_beta 111.55
_cell_angle_gamma 90.00
_symmetry_space_group_name_H-M 'P 1 21/m 1'
_symmetry_Int_Tables_number 11
loop_
_symmetry_equiv_pos_as_xyz
'x,y,z'
'-x,-y,-z'
'-x,y+1/2,-z'
'x,-y+1/2,z'
loop_
_atom_site_label
_atom_site_type_symbol
_atom_site_fract_x
_atom_site_fract_y
_atom_site_fract_z
Mg1 Mg 0.070 0.250 0.126
Zn1 Zn 0.233 0.750 0.468
Cd1 Cd 0.348 0.059 0.719
# DFT formation energy = -0.021 eV per atom
# Excess energy over the best structure of this formula in the dataset = 0 meV/atom
# Crystal system = monoclinic


(8)
# Cs2BeAgSe | the Alexandria database | PBE | optimized geometry
data_Cs2BeAgSe
_cell_length_a 6.948
_cell_length_b 6.948
_cell_length_c 4.322
_cell_angle_alpha 90.00
_cell_angle_beta 90.00
_cell_angle_gamma 90.00
_symmetry_space_group_name_H-M 'P 4/m m m'
_symmetry_Int_Tables_number 123
_symmetry_space_group_name_Hall '-P 4 2'
loop_
_atom_site_label
_atom_site_type_symbol
_atom_site_fract_x
_atom_site_fract_y
_atom_site_fract_z
Cs1 Cs 0.000 0.500 0.000
Be1 Be 0.000 0.000 0.000
Ag1 Ag 0.500 0.500 0.500
Se1 Se 0.000 0.000 0.500
# Crystal system = tetragonal
# Formation energy from raw total energies = -0.0252 eV/atom


(9)
# PmDyZrIn | the Alexandria database | PBE | optimized geometry
data_PmDyZrIn
_cell_length_a 7.629
_cell_length_b 7.629
_cell_length_c 7.629
_cell_angle_alpha 90.00
_cell_angle_beta 90.00
_cell_angle_gamma 90.00
_symmetry_space_group_name_H-M 'F -4 3 m'
_symmetry_Int_Tables_number 216
_symmetry_space_group_name_Hall 'F -4 2 3'
loop_
_atom_site_label
_atom_site_type_symbol
_atom_site_fract_x
_atom_site_fract_y
_atom_site_fract_z
Pm1 Pm 0.000 0.000 0.000
Dy1 Dy 0.000 0.000 0.500
Zr1 Zr 0.250 0.250 0.750
In1 In 0.250 0.250 0.250
# DFT formation energy = -0.056 eV per atom
# Crystal system = cubic


Repeat the sixth record exactly.
# BaSrAgPd2 | the Alexandria database | PBE | optimized geometry
data_BaSrAgPd2
_cell_length_a 5.435
_cell_length_b 5.435
_cell_length_c 5.797
_cell_angle_alpha 90.00
_cell_angle_beta 90.00
_cell_angle_gamma 90.00
_symmetry_space_group_name_H-M 'P 4/m m m'
_symmetry_Int_Tables_number 123
_symmetry_space_group_name_Hall '-P 4 2'
loop_
_atom_site_label
_atom_site_type_symbol
_atom_site_fract_x
_atom_site_fract_y
_atom_site_fract_z
Ba1 Ba 0.000 0.000 0.000
Sr1 Sr 0.500 0.500 0.500
Ag1 Ag 0.500 0.500 0.000
Pd1 Pd 0.000 0.500 0.500
# DFT formation energy = 0.187 eV per atom
# Crystal system = tetragonal